w) The following is a GGA-PBE calculation of an optimized crystal structure of LiGaOsW, from the Open Quantum Materials Database.

The structure in POSCAR format:
```
LiGaOsW
1.0
0.0000 3.0374 3.0374
3.0374 0.0000 3.0374
3.0374 3.0374 0.0000
Li Ga Os W
1 1 1 1
direct
0.0000 0.0000 0.0000
0.7500 0.7500 0.7500
0.5000 0.5000 0.5000
0.2500 0.2500 0.2500
```

***

x) The following is a GGA-PBE calculation of an optimized crystal structure of LiGaOsW, from the Open Quantum Materials Database.

The structure in POSCAR format:
```
LiGaOsW
1.0
0.0000 3.0181 3.0181
3.0181 0.0000 3.0181
3.0181 3.0181 0.0000
Li Ga Os W
1 1 1 1
direct
0.0000 0.0000 0.0000
0.5000 0.5000 0.5000
0.7500 0.7500 0.7500
0.2500 0.2500 0.2500
```

***

Most stable: w) (next structure +648 meV per atom)

***

w) The following is a GGA-PBE calculation of an optimized crystal structure of LiPaGa, from the Open Quantum Materials Database.

The structure in POSCAR format:
```
LiPaGa
1.0
0.0000 3.3486 3.3486
3.3486 0.0000 3.3486
3.3486 3.3486 0.0000
Li Pa Ga
1 1 1
direct
0.0000 0.0000 0.0000
0.7500 0.7500 0.7500
0.5000 0.5000 0.5000
```

***

x) The following is a GGA-PBE calculation of an optimized crystal structure of LiPaGa, from the Open Quantum Materials Database.

The structure in POSCAR format:
```
LiPaGa
1.0
0.0000 3.2832 3.2832
3.2832 0.0000 3.2832
3.2832 3.2832 0.0000
Li Pa Ga
1 1 1
direct
0.0000 0.0000 0.0000
0.5000 0.5000 0.5000
0.2500 0.2500 0.2500
```

***

Most stable: x) (next structure +489 meV per atom)

***

w) The following is a GGA-PBE calculation of an optimized crystal structure of LiGa2Pd, from the Open Quantum Materials Database.

The structure in POSCAR format:
```
LiGa2Pd
1.0
7.2480 0.0000 0.0000
0.0000 7.2505 0.0000
0.0000 0.0000 5.1604
Li Ga Pd
4 8 4
direct
0.0318 0.2500 0.1139
0.4682 0.7500 0.6139
0.5318 0.2500 0.3861
0.9682 0.7500 0.8861
0.1783 0.0554 0.5849
0.1783 0.4446 0.5849
0.3217 0.5554 0.0849
0.3217 0.9446 0.0849
0.6783 0.0554 0.9151
0.6783 0.4446 0.9151
0.8217 0.5554 0.4151
0.8217 0.9446 0.4151
0.1206 0.7500 0.3751
0.3794 0.2500 0.8751
0.6206 0.7500 0.1249
0.8794 0.2500 0.6249
```

***

x) The following is a GGA-PBE calculation of an optimized crystal structure of LiGa2Pd, from the Open Quantum Materials Database.

The structure in POSCAR format:
```
LiGa2Pd
1.0
3.2377 0.0000 0.0000
0.0000 3.2377 0.0000
0.0000 0.0000 5.6689
Li Ga Pd
1 2 1
direct
0.0000 0.0000 0.0000
0.5000 0.5000 0.2490
0.5000 0.5000 0.7510
0.0000 0.0000 0.5000
```

***

Most stable: w) (next structure +10 meV per atom)

***

w) The following is a GGA-PBE calculation of an optimized crystal structure of LiGa2Pd, from the Open Quantum Materials Database.

The structure in POSCAR format:
```
LiGa2Pd
1.0
3.9488 0.0000 0.0000
0.0000 3.9488 0.0000
0.0000 0.0000 3.7985
Li Ga Pd
1 2 1
direct
0.0000 0.0000 0.0000
0.0000 0.5000 0.5000
0.5000 0.0000 0.5000
0.5000 0.5000 0.0000
```

***

x) The following is a GGA-PBE calculation of an optimized crystal structure of LiGa2Pd, from the Open Quantum Materials Database.

The structure in POSCAR format:
```
LiGa2Pd
1.0
4.3448 0.0000 0.0000
0.0000 6.2174 0.0000
0.0000 0.0000 4.3470
Li Ga Pd
2 4 2
direct
0.2500 0.2500 0.2489
0.7500 0.7500 0.7511
0.2500 0.9997 0.7494
0.2500 0.5003 0.7494
0.7500 0.0003 0.2506
0.7500 0.4997 0.2506
0.2500 0.7500 0.2494
0.7500 0.2500 0.7506
```

***

Most stable: x) (next structure +66 meV per atom)

***

w) The following is a GGA-PBE calculation of an optimized crystal structure of LiGaSnPd, from the Open Quantum Materials Database.

The structure in POSCAR format:
```
LiGaSnPd
1.0
0.0000 3.2513 3.2513
3.2513 0.0000 3.2513
3.2513 3.2513 0.0000
Li Ga Sn Pd
1 1 1 1
direct
0.0000 0.0000 0.0000
0.5000 0.5000 0.5000
0.7500 0.7500 0.7500
0.2500 0.2500 0.2500
```

***

x) The following is a GGA-PBE calculation of an optimized crystal structure of LiGaSnPd, from the Open Quantum Materials Database.

The structure in POSCAR format:
```
LiGaSnPd
1.0
0.0000 3.2493 3.2493
3.2493 0.0000 3.2493
3.2493 3.2493 0.0000
Li Ga Sn Pd
1 1 1 1
direct
0.0000 0.0000 0.0000
0.2500 0.2500 0.2500
0.7500 0.7500 0.7500
0.5000 0.5000 0.5000
```

***

Most stable: x) (next structure +122 meV per atom)

***

w) The following is a GGA-PBE calculation of an optimized crystal structure of LiGa2Pt, from the Open Quantum Materials Database.

The structure in POSCAR format:
```
LiGa2Pt
1.0
-2.1734 2.1836 3.0742
2.1734 -2.1836 3.0742
2.1734 2.1836 -3.0742
Li Ga Pt
1 2 1
direct
0.0000 0.0000 0.0000
0.2494 0.7494 0.5000
0.7506 0.2506 0.5000
0.5000 0.5000 0.0000
```

***

x) The following is a GGA-PBE calculation of an optimized crystal structure of LiGa2Pt, from the Open Quantum Materials Database.

The structure in POSCAR format:
```
LiGa2Pt
1.0
3.2846 0.0000 0.0000
0.0000 3.2846 0.0000
0.0000 0.0000 5.5565
Li Ga Pt
1 2 1
direct
0.0000 0.0000 0.0000
0.5000 0.5000 0.2508
0.5000 0.5000 0.7492
0.0000 0.0000 0.5000
```

***

Most stable: w) (next structure +146 meV per atom)

***

w) The following is a GGA-PBE calculation of an optimized crystal structure of LiGa2Pt, from the Open Quantum Materials Database.

The structure in POSCAR format:
```
LiGa2Pt
1.0
3.9463 0.0000 0.0000
0.0000 3.9463 0.0000
0.0000 0.0000 3.7799
Li Ga Pt
1 2 1
direct
0.0000 0.0000 0.0000
0.0000 0.5000 0.5000
0.5000 0.0000 0.5000
0.5000 0.5000 0.0000
```

***

x) The following is a GGA-PBE calculation of an optimized crystal structure of LiGa2Pt, from the Open Quantum Materials Database.

The structure in POSCAR format:
```
LiGa2Pt
1.0
7.2333 0.0000 0.0000
0.0000 7.2562 0.0000
0.0000 0.0000 5.1543
Li Ga Pt
4 8 4
direct
0.0348 0.2500 0.1074
0.4652 0.7500 0.6074
0.5348 0.2500 0.3926
0.9652 0.7500 0.8926
0.1763 0.0530 0.5940
0.1763 0.4470 0.5940
0.3237 0.5530 0.0940
0.3237 0.9470 0.0940
0.6763 0.0530 0.9060
0.6763 0.4470 0.9060
0.8237 0.5530 0.4060
0.8237 0.9470 0.4060
0.1198 0.7500 0.3784
0.3802 0.2500 0.8784
0.6198 0.7500 0.1216
0.8802 0.2500 0.6216
```

***

Most stable: x) (next structure +83 meV per atom)

***

w) The following is a GGA-PBE calculation of an optimized crystal structure of LiGaSiPt, from the Open Quantum Materials Database.

The structure in POSCAR format:
```
LiGaSiPt
1.0
0.0000 3.0560 3.0560
3.0560 0.0000 3.0560
3.0560 3.0560 0.0000
Li Ga Si Pt
1 1 1 1
direct
0.0000 0.0000 0.0000
0.7500 0.7500 0.7500
0.5000 0.5000 0.5000
0.2500 0.2500 0.2500
```

***

x) The following is a GGA-PBE calculation of an optimized crystal structure of LiGaSiPt, from the Open Quantum Materials Database.

The structure in POSCAR format:
```
LiGaSiPt
1.0
0.0000 3.0542 3.0542
3.0542 0.0000 3.0542
3.0542 3.0542 0.0000
Li Ga Si Pt
1 1 1 1
direct
0.0000 0.0000 0.0000
0.2500 0.2500 0.2500
0.7500 0.7500 0.7500
0.5000 0.5000 0.5000
```

***

Most stable: x) (next structure +142 meV per atom)

***

w) The following is a GGA-PBE calculation of an optimized crystal structure of LiGaReTc, from the Open Quantum Materials Database.

The structure in POSCAR format:
```
LiGaReTc
1.0
0.0000 3.0138 3.0138
3.0138 0.0000 3.0138
3.0138 3.0138 0.0000
Li Ga Re Tc
1 1 1 1
direct
0.0000 0.0000 0.0000
0.7500 0.7500 0.7500
0.2500 0.2500 0.2500
0.5000 0.5000 0.5000
```

***

x) The following is a GGA-PBE calculation of an optimized crystal structure of LiGaReTc, from the Open Quantum Materials Database.

The structure in POSCAR format:
```
LiGaReTc
1.0
0.0000 3.0039 3.0039
3.0039 0.0000 3.0039
3.0039 3.0039 0.0000
Li Ga Re Tc
1 1 1 1
direct
0.0000 0.0000 0.0000
0.5000 0.5000 0.5000
0.2500 0.2500 0.2500
0.7500 0.7500 0.7500
```

***

Most stable: w) (next structure +546 meV per atom)

***

w) The following is a GGA-PBE calculation of an optimized crystal structure of LiSmGa, from the Open Quantum Materials Database.

The structure in POSCAR format:
```
LiSmGa
1.0
0.0000 3.3559 3.3559
3.3559 0.0000 3.3559
3.3559 3.3559 0.0000
Li Sm Ga
1 1 1
direct
0.0000 0.0000 0.0000
0.5000 0.5000 0.5000
0.2500 0.2500 0.2500
```

***

x) The following is a GGA-PBE calculation of an optimized crystal structure of LiSmGa, from the Open Quantum Materials Database.

The structure in POSCAR format:
```
LiSmGa
1.0
0.0000 3.4017 3.4017
3.4017 0.0000 3.4017
3.4017 3.4017 0.0000
Li Sm Ga
1 1 1
direct
0.0000 0.0000 0.0000
0.7500 0.7500 0.7500
0.5000 0.5000 0.5000
```

***

Most stable: w) (next structure +357 meV per atom)

***

w) The following is a GGA-PBE calculation of an optimized crystal structure of LiZnGaSn, from the Open Quantum Materials Database.

The structure in POSCAR format:
```
LiZnGaSn
1.0
0.0000 3.3649 3.3649
3.3649 0.0000 3.3649
3.3649 3.3649 0.0000
Li Zn Ga Sn
1 1 1 1
direct
0.0000 0.0000 0.0000
0.5000 0.5000 0.5000
0.7500 0.7500 0.7500
0.2500 0.2500 0.2500
```

***

x) The following is a GGA-PBE calculation of an optimized crystal structure of LiZnGaSn, from the Open Quantum Materials Database.

The structure in POSCAR format:
```
LiZnGaSn
1.0
0.0000 3.4049 3.4049
3.4049 0.0000 3.4049
3.4049 3.4049 0.0000
Li Zn Ga Sn
1 1 1 1
direct
0.0000 0.0000 0.0000
0.2500 0.2500 0.2500
0.7500 0.7500 0.7500
0.5000 0.5000 0.5000
```

***

Most stable: w) (next structure +29 meV per atom)

***

w) The following is a GGA-PBE calculation of an optimized crystal structure of LiThGa, from the Open Quantum Materials Database.

The structure in POSCAR format:
```
LiThGa
1.0
0.0000 3.3823 3.3823
3.3823 0.0000 3.3823
3.3823 3.3823 0.0000
Li Th Ga
1 1 1
direct
0.0000 0.0000 0.0000
0.5000 0.5000 0.5000
0.2500 0.2500 0.2500
```

***

x) The following is a GGA-PBE calculation of an optimized crystal structure of LiThGa, from the Open Quantum Materials Database.

The structure in POSCAR format:
```
LiThGa
1.0
0.0000 3.4421 3.4421
3.4421 0.0000 3.4421
3.4421 3.4421 0.0000
Li Th Ga
1 1 1
direct
0.0000 0.0000 0.0000
0.7500 0.7500 0.7500
0.5000 0.5000 0.5000
```

***

Most stable: w) (next structure +493 meV per atom)